(1)
Here is an optimized crystal structure of TaInS2 from Alexandria. Energies are from PBE.

Structure (CIF):
```
data_TaInS2
_chemical_formula_sum 'Ta1 In1 S2'
_cell_length_a 3.3350
_cell_length_b 3.3350
_cell_length_c 8.9624
_cell_angle_alpha 90.00
_cell_angle_beta 90.00
_cell_angle_gamma 120.00
_space_group_name_H-M_alt 'P -6 m 2'
_space_group_IT_number 187
_space_group_name_Hall 'P -6 2'
loop_
_atom_site_label
_atom_site_type_symbol
_atom_site_fract_x
_atom_site_fract_y
_atom_site_fract_z
_atom_site_occupancy
Ta1 Ta 0.0000 0.0000 0.0000 1
In1 In 0.6667 0.3333 0.5000 1
S1 S 0.6667 0.3333 0.1742 1
```

- mass density (g cm⁻³) = 6.9
- total magnetic moment (μB per formula unit) = 0.00
- density of states at the Fermi level (states/eV per cell) = 1.37
- E_form (uncorrected) (eV/atom) = -0.8730



(2)
Here is an optimized crystal structure of Ac2PrMg2 from Alexandria. Energies are from PBE.

Structure (CIF):
```
data_Ac2PrMg2
_chemical_formula_sum 'Ac4 Pr2 Mg4'
_cell_length_a 4.0504
_cell_length_b 22.2594
_cell_length_c 3.9789
_cell_angle_alpha 90.00
_cell_angle_beta 90.00
_cell_angle_gamma 90.00
_space_group_name_H-M_alt 'C m m m'
_space_group_IT_number 65
_space_group_name_Hall '-C 2 2'
loop_
_atom_site_label
_atom_site_type_symbol
_atom_site_fract_x
_atom_site_fract_y
_atom_site_fract_z
_atom_site_occupancy
Ac1 Ac 0.0000 0.1764 0.0000 1
Pr1 Pr 0.0000 0.0000 0.0000 1
Mg1 Mg 0.0000 0.4196 0.5000 1
```

- energy of formation (eV/atom) = 0.0086
- mass density (g cm⁻³) = 6.0
- total magnetic moment (μB per formula unit) = 0.00
- density of states at the Fermi level (states/eV per cell) = 10.79
- excess energy over the best structure of this formula in the dataset (meV per atom) = 0



(3)
Here is an optimized crystal structure of TbDy5Ho from Alexandria. Energies are from PBE.

Structure (CIF):
```
data_TbDy5Ho
_chemical_formula_sum 'Tb2 Dy10 Ho2'
_cell_length_a 5.7540
_cell_length_b 8.5969
_cell_length_c 11.8835
_cell_angle_alpha 90.00
_cell_angle_beta 90.00
_cell_angle_gamma 90.00
_space_group_name_H-M_alt 'I m m m'
_space_group_IT_number 71
_space_group_name_Hall '-I 2 2'
loop_
_atom_site_label
_atom_site_type_symbol
_atom_site_fract_x
_atom_site_fract_y
_atom_site_fract_z
_atom_site_occupancy
Tb1 Tb 0.0000 0.0000 0.0000 1
Dy1 Dy 0.0000 0.0000 0.2546 1
Dy2 Dy 0.0000 0.3219 0.5000 1
Dy3 Dy 0.0000 0.5000 0.0000 1
Ho1 Ho 0.0000 0.0000 0.5000 1
```

- energy of formation (eV/atom) = 1.1093
- mass density (g cm⁻³) = 6.4
- total magnetic moment (μB per formula unit) = 0.00
- density of states at the Fermi level (states/eV per cell) = 16.42
- excess energy over the best structure of this formula in the dataset (meV per atom) = 917



(4)
Here is an optimized crystal structure of B2Pt3 from Alexandria. Energies are from PBE.

Structure (CIF):
```
data_B2Pt3
_chemical_formula_sum 'B12 Pt18'
_cell_length_a 5.9411
_cell_length_b 5.9411
_cell_length_c 12.2986
_cell_angle_alpha 90.00
_cell_angle_beta 90.00
_cell_angle_gamma 120.00
_space_group_name_H-M_alt 'R -3 c'
_space_group_IT_number 167
_space_group_name_Hall '-R 3 2"c'
loop_
_atom_site_label
_atom_site_type_symbol
_atom_site_fract_x
_atom_site_fract_y
_atom_site_fract_z
_atom_site_occupancy
B1 B 0.0000 0.0000 0.1504 1
Pt1 Pt 0.0000 0.3238 0.2500 1
```

- energy of formation (eV/atom) = -0.2329
- mass density (g cm⁻³) = 16.1
- total magnetic moment (μB per formula unit) = 0.00
- density of states at the Fermi level (states/eV per cell) = 2.77



(5)
Here is an optimized crystal structure of Ac2SiO from Alexandria. Energies are from PBE.

Structure (CIF):
```
data_Ac2SiO
_chemical_formula_sum 'Ac8 Si4 O4'
_cell_length_a 7.3477
_cell_length_b 4.3458
_cell_length_c 14.1024
_cell_angle_alpha 90.00
_cell_angle_beta 90.00
_cell_angle_gamma 90.00
_space_group_name_H-M_alt 'P n m a'
_space_group_IT_number 62
loop_
_space_group_symop_operation_xyz
'x,y,z'
'-x,-y,-z'
'-x+1/2,-y,z+1/2'
'x+1/2,y,-z+1/2'
'x+1/2,-y+1/2,-z+1/2'
'-x+1/2,y+1/2,z+1/2'
'-x,y+1/2,-z'
'x,-y+1/2,z'
loop_
_atom_site_label
_atom_site_type_symbol
_atom_site_fract_x
_atom_site_fract_y
_atom_site_fract_z
_atom_site_occupancy
Ac1 Ac 0.0310 0.2500 0.2416 1
Ac2 Ac 0.2402 0.7500 0.4579 1
Si1 Si 0.2056 0.2500 0.6346 1
O1 O 0.2293 0.7500 0.8731 1
```

- mass density (g cm⁻³) = 7.3
- total magnetic moment (μB per formula unit) = 0.00
- density of states at the Fermi level (states/eV per cell) = 1.50
- excess energy over the best structure of this formula in the dataset (meV per atom) = 0
- E_form (uncorrected) (eV/atom) = -1.6728



(6)
Here is an optimized crystal structure of Sc6TlRu5 from Alexandria. Energies are from PBE.

Structure (CIF):
```
data_Sc6TlRu5
_chemical_formula_sum 'Sc12 Tl2 Ru10'
_cell_length_a 4.6092
_cell_length_b 6.6161
_cell_length_c 13.7216
_cell_angle_alpha 90.00
_cell_angle_beta 90.00
_cell_angle_gamma 90.00
_space_group_name_H-M_alt 'I m m m'
_space_group_IT_number 71
_space_group_name_Hall '-I 2 2'
loop_
_atom_site_label
_atom_site_type_symbol
_atom_site_fract_x
_atom_site_fract_y
_atom_site_fract_z
_atom_site_occupancy
Sc1 Sc 0.0000 0.2265 0.0000 1
Sc2 Sc 0.0000 0.2620 0.3254 1
Tl1 Tl 0.0000 0.0000 0.5000 1
Ru1 Ru 0.0000 0.0000 0.1677 1
Ru2 Ru 0.0000 0.5000 0.1631 1
Ru3 Ru 0.0000 0.5000 0.5000 1
```

- energy of formation (eV/atom) = -0.5308
- mass density (g cm⁻³) = 7.8
- total magnetic moment (μB per formula unit) = 0.00
- density of states at the Fermi level (states/eV per cell) = 7.42